Density functional theory data (PBE) for KPS2Br after structural relaxation.

a b c (Å): 5.8422 5.8422 6.3352
angles (deg): 90.00 90.00 90.00
Closest atoms and distances in Å follow each position.
Space group P4/mmm (No. 123)
Symmetry-distinct sites (fractional):
K (0.0000, 0.0000, 0.0000)  4 S 2.92, 2 P 3.17
P (0.0000, 0.0000, 0.5000)  2 K 3.17
S (0.0000, 0.5000, 0.0000)  2 K 2.92
Br (0.5000, 0.5000, 0.5000)  4 P 4.13, 8 S 4.31

* raw formation energy: 1.455 eV per atom
* crystal system: tetragonal
* distance to the lowest polymorph of the same formula: 19.47 kcal/mol of atoms
* size of the total moment: 4.02 μB per formula unit